The following is a PBE-GGA calculation of crystalline NdMg4Cu2 at its relaxed geometry, from Alexandria via LeMat-Bulk.

Results
Relative energy among the computed polymorphs   0 meV/atom
Energy of formation   -0.12 eV/atom

Cell lengths 8.268, 8.268, 4.291 Å; angles 90.00, 90.00, 90.00 degrees
Space group P4_2/mnm (No. 136)
Unique sites:
1 Nd 0.000 0.000 0.000
2 Mg 0.085 0.333 0.500
3 Cu 0.217 0.783 0.500

***

The following is a PBE-GGA calculation of crystalline Nd3Mg5Cu2 at its relaxed geometry, from Alexandria via LeMat-Bulk.

Results
Energy of formation   -0.04 eV/atom

Cell lengths 10.788, 14.779, 6.207 Å; angles 90.00, 90.00, 90.00 degrees
Space group Ibam (No. 72)
Unique sites:
1 Nd 0.000 0.000 0.250
2 Nd 0.211 0.172 0.000
3 Mg 0.000 0.306 0.250
4 Mg 0.000 0.500 0.250
5 Mg 0.220 0.431 0.000
6 Cu 0.083 0.173 0.500

***

The following is a PBE-GGA calculation of crystalline NdMgCu2 at its relaxed geometry, from Alexandria via LeMat-Bulk.

Results
Energy of formation   -0.08 eV/atom

Cell lengths 3.364, 3.364, 6.848 Å; angles 90.00, 90.00, 90.00 degrees
Space group P4/mmm (No. 123)
Unique sites:
1 Nd 0.000 0.000 0.000
2 Mg 0.000 0.000 0.500
3 Cu 0.500 0.500 0.295

***

The following is a PBE-GGA calculation of crystalline NdMg2Cu at its relaxed geometry, from Alexandria via LeMat-Bulk.

Results
Energy of formation   -0.10 eV/atom

Cell lengths 7.060, 7.060, 7.060 Å; angles 90.00, 90.00, 90.00 degrees
Space group F-43m (No. 216)
Unique sites:
1 Nd 0.000 0.000 0.000
2 Mg 0.000 0.000 0.500
3 Mg 0.250 0.250 0.750
4 Cu 0.250 0.250 0.250

***

The following is a PBE-GGA calculation of crystalline Nd6Mg2Cu at its relaxed geometry, from Alexandria via LeMat-Bulk.

Results
Energy of formation   0.06 eV/atom

Cell lengths 6.550, 8.083, 11.326 Å; angles 90.00, 111.38, 90.00 degrees
Space group P2_1/c (No. 14)
Unique sites:
1 Nd 0.103 0.045 0.252
2 Nd 0.157 0.711 0.037
3 Nd 0.367 0.157 0.013
4 Mg 0.392 0.089 0.731
5 Cu 0.500 0.000 0.500

***

The following is a PBE-GGA calculation of crystalline Nd2MgCu3 at its relaxed geometry, from Alexandria via LeMat-Bulk.

Results
Energy of formation   -0.10 eV/atom

Cell lengths 7.278, 9.062, 15.589 Å; angles 90.00, 90.00, 90.00 degrees
Space group Fmmm (No. 69)
Unique sites:
1 Nd 0.243 0.000 0.000
2 Nd 0.250 0.250 0.250
3 Mg 0.000 0.000 0.333
4 Cu 0.000 0.000 0.163
5 Cu 0.000 0.246 0.082

***

Fermi-level density of states readings, ordered: 8.4, 31.0, 2.3, 11.8, 22.5, 36.7 states/eV per cell